VASP calculation (PBE) on a relaxed PuCdPdAu crystal.

Cell and atoms, written as extended XYZ:
```
16
Lattice="6.979 0.000 0.000 0.000 6.979 0.000 0.000 0.000 6.979" Properties=species:S:1:pos:R:3 pbc="T T T"
Pu 0.000 0.000 0.000
Pu 0.000 3.490 3.490
Pu 3.490 0.000 3.490
Pu 3.490 3.490 0.000
Cd 0.000 0.000 3.490
Cd 0.000 3.490 0.000
Cd 3.490 0.000 0.000
Cd 3.490 3.490 3.490
Pd 1.745 1.745 1.745
Pd 1.745 5.234 5.234
Pd 5.234 1.745 5.234
Pd 5.234 5.234 1.745
Au 1.745 1.745 5.234
Au 1.745 5.234 1.745
Au 5.234 1.745 1.745
Au 5.234 5.234 5.234
```

DFT formation energy   -0.3648 eV per atom


VASP calculation (PBE) on a relaxed Ca2AlW crystal.

Cell and atoms, written as extended XYZ:
```
4
Lattice="3.119 0.000 0.000 0.000 4.786 0.000 -1.499 0.000 6.330" Properties=species:S:1:pos:R:3 pbc="T T T"
Ca 0.000 0.000 0.000
Ca 0.009 2.393 4.123
Al 1.560 0.000 2.683
W 1.568 2.393 1.400
```

DFT formation energy   0.5140 eV per atom


VASP calculation (PBE) on a relaxed CaTc3F crystal.

Cell and atoms, written as extended XYZ:
```
5
Lattice="5.149 0.000 0.000 0.000 5.149 0.000 0.000 0.000 5.149" Properties=species:S:1:pos:R:3 pbc="T T T"
Ca 0.000 0.000 0.000
Tc 0.000 0.000 2.574
Tc 0.000 2.574 0.000
Tc 2.574 0.000 0.000
F 2.574 2.574 2.574
```

Formation energy without anion corrections   2.58 eV per atom